# 1
# LiPuSn6

A relaxed LiPuSn6 crystal (PBE-GGA, the Alexandria database).

Computed properties:
- calculated formation energy (meV/atom) = -240
- E_tot (eV/atom) = -5.2731
- calculated density (g/cm3) = 8.0

Lattice parameters (Å, degrees): 4.638 6.575 6.575 90.14 90.00 90.00
Fractional coordinates of all 8 atoms:
Sn 0.000 0.259 0.741
Sn 0.000 0.260 0.260
Sn 0.000 0.741 0.259
Sn 0.500 0.000 0.500
Sn 0.500 0.500 0.000
Sn 0.000 0.740 0.740
Pu 0.500 0.000 0.000
Li 0.500 0.500 0.500

---

# 2
# MgSi2Pt7Pb2

A relaxed MgSi2Pt7Pb2 crystal (PBE-GGA, the Alexandria database).

Computed properties:
- formation energy without anion corrections (eV per atom) = -0.4745
- E_tot (eV/atom) = -5.6530
- calculated density (g/cm3) = 13.2

Lattice parameters (Å, degrees): 3.955 3.955 15.280 82.45 82.45 90.08
Fractional coordinates of all 12 atoms:
Si 0.383 0.383 0.228
Si 0.617 0.617 0.772
Pt 0.929 0.430 0.138
Pt 0.500 0.500 0.000
Pt 0.430 0.929 0.138
Pt 0.570 0.071 0.862
Pt 0.692 0.692 0.618
Pt 0.071 0.570 0.862
Pt 0.308 0.308 0.382
Pb 0.209 0.209 0.583
Pb 0.791 0.791 0.417
Mg 0.000 0.000 0.000

---

# 3
# MgBe2TcAs

A relaxed MgBe2TcAs crystal (PBE-GGA, the Alexandria database).

Computed properties:
- calculated formation energy (meV/atom) = 1578
- E_tot (eV/atom) = -3.2347
- calculated density (g/cm3) = 4.1

Lattice parameters (Å, degrees): 4.298 4.672 4.298 90.00 90.00 90.00
Fractional coordinates of all 5 atoms:
As 0.500 0.500 0.500
Tc 0.000 0.500 0.000
Be 0.000 0.000 0.500
Be 0.500 0.000 0.000
Mg 0.000 0.000 0.000

---

# 4
# Ce4BiPbO

A relaxed Ce4BiPbO crystal (PBE-GGA, the Alexandria database).

Computed properties:
- formation energy without anion corrections (eV per atom) = -1.1342
- E_tot (eV/atom) = -6.3175
- calculated density (g/cm3) = 8.5

Lattice parameters (Å, degrees): 6.775 6.778 9.089 90.00 111.88 90.00
Fractional coordinates of all 14 atoms:
Ce 0.589 0.250 0.178
Ce 0.411 0.750 0.822
Ce 0.000 0.000 0.500
Ce 0.087 0.750 0.175
Ce 0.913 0.250 0.825
Ce 0.000 0.500 0.500
Ce 0.500 0.000 0.500
Ce 0.500 0.500 0.500
O 0.750 0.250 0.500
O 0.250 0.750 0.500
Bi 0.393 0.250 0.786
Bi 0.607 0.750 0.214
Pb 0.107 0.250 0.213
Pb 0.893 0.750 0.787

---

# 5
# CuRhNF2

A relaxed CuRhNF2 crystal (PBE-GGA, the Alexandria database).

Computed properties:
- energy relative to the lowest polymorph listed for this composition (eV per formula unit) = 1.993
- formation energy without anion corrections (eV per atom) = 0.3001
- E_tot (eV/atom) = -4.4030
- calculated density (g/cm3) = 6.2

Lattice parameters (Å, degrees): 3.668 3.668 4.384 90.00 90.00 90.00
Fractional coordinates of all 5 atoms:
F 0.500 0.000 0.000
F 0.000 0.500 0.000
Rh 0.500 0.500 0.500
Cu 0.000 0.000 0.000
N 0.000 0.000 0.500

---

# 6
# Tb4HoS6

A relaxed Tb4HoS6 crystal (PBE-GGA, the Alexandria database).

Computed properties:
- formation energy without anion corrections (eV per atom) = -2.0379
- E_tot (eV/atom) = -6.3892
- calculated density (g/cm3) = 6.7

Lattice parameters (Å, degrees): 3.832 6.742 19.886 90.00 90.00 106.51
Fractional coordinates of all 22 atoms:
Tb 0.409 0.818 0.372
Tb 0.139 0.278 0.040
Tb 0.861 0.722 0.540
Tb 0.409 0.818 0.128
Tb 0.591 0.182 0.628
Tb 0.861 0.722 0.960
Tb 0.591 0.182 0.872
Tb 0.139 0.278 0.460
S 0.230 0.460 0.911
S 0.770 0.540 0.411
S 0.500 0.000 0.000
S 0.230 0.460 0.589
S 0.948 0.896 0.668
S 0.052 0.104 0.168
S 0.770 0.540 0.089
S 0.052 0.104 0.332
S 0.696 0.392 0.750
S 0.304 0.608 0.250
S 0.948 0.896 0.832
S 0.500 0.000 0.500
Ho 0.348 0.697 0.750
Ho 0.652 0.303 0.250

---

# 7
# CrReSn3

A relaxed CrReSn3 crystal (PBE-GGA, the Alexandria database).

Computed properties:
- energy relative to the lowest polymorph listed for this composition (eV per formula unit) = 2.350
- calculated formation energy (meV/atom) = 1242
- E_tot (eV/atom) = -5.5740
- calculated density (g/cm3) = 7.9

Lattice parameters (Å, degrees): 4.995 4.995 4.995 90.00 90.00 90.00
Fractional coordinates of all 5 atoms:
Sn 0.500 0.000 0.000
Sn 0.000 0.000 0.500
Sn 0.000 0.500 0.000
Re 0.500 0.500 0.500
Cr 0.000 0.000 0.000

---

# 8
# NbTl3Sn3S8

A relaxed NbTl3Sn3S8 crystal (PBE-GGA, the Alexandria database).

Computed properties:
- formation energy without anion corrections (eV per atom) = -0.5355
- E_tot (eV/atom) = -4.6819
- calculated density (g/cm3) = 5.5

Lattice parameters (Å, degrees): 7.817 7.790 8.766 116.21 90.03 119.96
Fractional coordinates of all 15 atoms:
Sn 0.000 0.500 0.500
Sn 0.500 0.500 0.500
Sn 0.500 0.000 0.500
S 0.785 0.568 0.316
S 0.738 0.474 0.709
S 0.215 0.967 0.684
S 0.215 0.432 0.684
S 0.785 0.033 0.316
S 0.262 0.526 0.291
S 0.753 0.968 0.684
S 0.247 0.032 0.316
Tl 0.000 0.000 0.000
Tl 0.000 0.500 0.000
Tl 0.500 0.500 0.000
Nb 0.000 0.000 0.500